No. 1
# BaMgSn2Au, optimized geometry, DFT PBE-GGA
# - Calculated volume: 28.045 A^3/atom
# - Total energy: -3.50 eV/atom
# - ΔE_f: -0.5441 eV per atom
data_BaMgSn2Au
_chemical_formula_sum 'Ba2 Mg2 Sn4 Au2'
_symmetry_space_group_name_H-M 'I -4 m 2'
_symmetry_Int_Tables_number 119
_symmetry_space_group_name_Hall 'I -4 -2'
_cell_length_a 4.7985
_cell_length_b 4.7985
_cell_length_c 12.1800
_cell_angle_alpha 90.00
_cell_angle_beta 90.00
_cell_angle_gamma 90.00
loop_
_atom_site_label
_atom_site_type_symbol
_atom_site_fract_x
_atom_site_fract_y
_atom_site_fract_z
Ba1 Ba 0.0000 0.0000 0.0000
Mg1 Mg 0.0000 0.5000 0.2500
Sn1 Sn 0.0000 0.0000 0.3798
Au1 Au 0.0000 0.5000 0.7500


No. 2
# Ta2Zn2Pb, optimized geometry, DFT PBE-GGA
# - Calculated volume: 19.572 A^3/atom
# - Total energy: -5.57 eV/atom
# - ΔE_f: 0.4235 eV per atom
data_Ta2Zn2Pb
_chemical_formula_sum 'Ta4 Zn4 Pb2'
_symmetry_space_group_name_H-M 'P 4/m b m'
_symmetry_Int_Tables_number 127
_symmetry_space_group_name_Hall '-P 4 2ab'
_cell_length_a 8.1006
_cell_length_b 8.1006
_cell_length_c 2.9826
_cell_angle_alpha 90.00
_cell_angle_beta 90.00
_cell_angle_gamma 90.00
loop_
_atom_site_label
_atom_site_type_symbol
_atom_site_fract_x
_atom_site_fract_y
_atom_site_fract_z
Ta1 Ta 0.1156 0.3844 0.0000
Zn1 Zn 0.1746 0.6746 0.5000
Pb1 Pb 0.0000 0.0000 0.5000


No. 3
# VW2Au, optimized geometry, DFT PBE-GGA
# - Calculated volume: 15.965 A^3/atom
# - Total energy: -9.06 eV/atom
# - Relative energy among the computed polymorphs: 0.000 eV/atom
# - ΔE_f: 0.5117 eV per atom
data_VW2Au
_chemical_formula_sum 'V4 W8 Au4'
_symmetry_space_group_name_H-M 'F m -3 m'
_symmetry_Int_Tables_number 225
_symmetry_space_group_name_Hall '-F 4 2 3'
_cell_length_a 6.3450
_cell_length_b 6.3450
_cell_length_c 6.3450
_cell_angle_alpha 90.00
_cell_angle_beta 90.00
_cell_angle_gamma 90.00
loop_
_atom_site_label
_atom_site_type_symbol
_atom_site_fract_x
_atom_site_fract_y
_atom_site_fract_z
V1 V 0.0000 0.0000 0.0000
W1 W 0.2500 0.2500 0.2500
Au1 Au 0.0000 0.0000 0.5000


No. 4
# Th2Si3Ir2, optimized geometry, DFT PBE-GGA
# - Calculated volume: 19.125 A^3/atom
# - Energy relative to the elements, uncorrected: -0.88 eV per atom
# - Total energy: -7.85 eV/atom
# - Relative energy among the computed polymorphs: 0.000 eV/atom
data_Th2Si3Ir2
_chemical_formula_sum 'Th8 Si12 Ir8'
_symmetry_space_group_name_H-M 'C m c m'
_symmetry_Int_Tables_number 63
_symmetry_space_group_name_Hall '-C 2c 2'
_cell_length_a 4.2404
_cell_length_b 18.0827
_cell_length_c 6.9840
_cell_angle_alpha 90.00
_cell_angle_beta 90.00
_cell_angle_gamma 90.00
loop_
_atom_site_label
_atom_site_type_symbol
_atom_site_fract_x
_atom_site_fract_y
_atom_site_fract_z
Th1 Th 0.0000 0.0547 0.2500
Th2 Th 0.0000 0.1562 0.7500
Si1 Si 0.0000 0.2224 0.2500
Si2 Si 0.0000 0.4390 0.0670
Ir1 Ir 0.0000 0.3087 0.5463


No. 5
# Pu2Pa2CuGe4, optimized geometry, DFT PBE-GGA
# - Calculated volume: 21.755 A^3/atom
# - Total energy: -7.94 eV/atom
# - ΔE_f: -0.1412 eV per atom
data_Pu2Pa2CuGe4
_chemical_formula_sum 'Pu4 Pa4 Cu2 Ge8'
_symmetry_space_group_name_H-M 'I 4/m m m'
_symmetry_Int_Tables_number 139
_symmetry_space_group_name_Hall '-I 4 2'
_cell_length_a 6.8369
_cell_length_b 6.8369
_cell_length_c 8.3773
_cell_angle_alpha 90.00
_cell_angle_beta 90.00
_cell_angle_gamma 90.00
loop_
_atom_site_label
_atom_site_type_symbol
_atom_site_fract_x
_atom_site_fract_y
_atom_site_fract_z
Pu1 Pu 0.0000 0.0000 0.1795
Pa1 Pa 0.0000 0.5000 0.2500
Cu1 Cu 0.0000 0.0000 0.5000
Ge1 Ge 0.2403 0.2403 0.5000


No. 6
# AsPAu2, optimized geometry, DFT PBE-GGA
# - Calculated volume: 18.317 A^3/atom
# - Total energy: -3.69 eV/atom
# - Relative energy among the computed polymorphs: 0.341 eV/atom
# - ΔE_f: 0.4624 eV per atom
data_AsPAu2
_chemical_formula_sum 'As4 P4 Au8'
_symmetry_space_group_name_H-M 'F -4 3 m'
_symmetry_Int_Tables_number 216
_symmetry_space_group_name_Hall 'F -4 2 3'
_cell_length_a 6.6424
_cell_length_b 6.6424
_cell_length_c 6.6424
_cell_angle_alpha 90.00
_cell_angle_beta 90.00
_cell_angle_gamma 90.00
loop_
_atom_site_label
_atom_site_type_symbol
_atom_site_fract_x
_atom_site_fract_y
_atom_site_fract_z
As1 As 0.0000 0.0000 0.0000
P1 P 0.2500 0.2500 0.7500
Au1 Au 0.0000 0.0000 0.5000
Au2 Au 0.2500 0.2500 0.2500


No. 7
# InTc2SbN, optimized geometry, DFT PBE-GGA
# - Calculated volume: 21.100 A^3/atom
# - Energy relative to the elements, uncorrected: 1.90 eV per atom
# - Total energy: -5.28 eV/atom
data_InTc2SbN
_chemical_formula_sum 'In1 Tc2 Sb1 N1'
_symmetry_space_group_name_H-M 'P 4/m m m'
_symmetry_Int_Tables_number 123
_symmetry_space_group_name_Hall '-P 4 2'
_cell_length_a 5.1651
_cell_length_b 5.1651
_cell_length_c 3.9544
_cell_angle_alpha 90.00
_cell_angle_beta 90.00
_cell_angle_gamma 90.00
loop_
_atom_site_label
_atom_site_type_symbol
_atom_site_fract_x
_atom_site_fract_y
_atom_site_fract_z
In1 In 0.0000 0.0000 0.0000
Tc1 Tc 0.0000 0.5000 0.0000
Sb1 Sb 0.5000 0.5000 0.5000
N1 N 0.0000 0.0000 0.5000


No. 8
# LiLa2Zn3In4, optimized geometry, DFT PBE-GGA
# - Calculated volume: 23.492 A^3/atom
# - Total energy: -3.03 eV/atom
# - ΔE_f: -0.3760 eV per atom
data_LiLa2Zn3In4
_chemical_formula_sum 'Li1 La2 Zn3 In4'
_symmetry_space_group_name_H-M 'P -4 m 2'
_symmetry_Int_Tables_number 115
_cell_length_a 4.5505
_cell_length_b 4.5505
_cell_length_c 11.3450
_cell_angle_alpha 90.00
_cell_angle_beta 90.00
_cell_angle_gamma 90.00
loop_
_symmetry_equiv_pos_as_xyz
'x,y,z'
'y,-x,-z'
'-x,-y,z'
'-y,x,-z'
'-x,y,z'
'-y,-x,-z'
'x,-y,z'
'y,x,-z'
loop_
_atom_site_label
_atom_site_type_symbol
_atom_site_fract_x
_atom_site_fract_y
_atom_site_fract_z
Li1 Li 0.0000 0.0000 0.0000
La1 La 0.0000 0.5000 0.7497
Zn1 Zn 0.0000 0.5000 0.3578
Zn2 Zn 0.5000 0.5000 0.0000
In1 In 0.0000 0.0000 0.5000
In2 In 0.0000 0.5000 0.1278
In3 In 0.5000 0.5000 0.5000


No. 9
# BaPaNi2, optimized geometry, DFT PBE-GGA
# - Calculated volume: 23.203 A^3/atom
# - Total energy: -5.88 eV/atom
# - Relative energy among the computed polymorphs: 0.000 eV/atom
# - ΔE_f: -0.1333 eV per atom
data_BaPaNi2
_chemical_formula_sum 'Ba1 Pa1 Ni2'
_symmetry_space_group_name_H-M 'P 4/m m m'
_symmetry_Int_Tables_number 123
_symmetry_space_group_name_Hall '-P 4 2'
_cell_length_a 3.5048
_cell_length_b 3.5048
_cell_length_c 7.5558
_cell_angle_alpha 90.00
_cell_angle_beta 90.00
_cell_angle_gamma 90.00
loop_
_atom_site_label
_atom_site_type_symbol
_atom_site_fract_x
_atom_site_fract_y
_atom_site_fract_z
Ba1 Ba 0.0000 0.0000 0.0000
Pa1 Pa 0.0000 0.0000 0.5000
Ni1 Ni 0.5000 0.5000 0.3325


No. 10
# CaTa2Ni, optimized geometry, DFT PBE-GGA
# - Calculated volume: 18.371 A^3/atom
# - Total energy: -7.24 eV/atom
# - Relative energy among the computed polymorphs: 0.423 eV/atom
# - ΔE_f: 0.6290 eV per atom
data_CaTa2Ni
_chemical_formula_sum 'Ca4 Ta8 Ni4'
_symmetry_space_group_name_H-M 'F -4 3 m'
_symmetry_Int_Tables_number 216
_symmetry_space_group_name_Hall 'F -4 2 3'
_cell_length_a 6.6489
_cell_length_b 6.6489
_cell_length_c 6.6489
_cell_angle_alpha 90.00
_cell_angle_beta 90.00
_cell_angle_gamma 90.00
loop_
_atom_site_label
_atom_site_type_symbol
_atom_site_fract_x
_atom_site_fract_y
_atom_site_fract_z
Ca1 Ca 0.0000 0.0000 0.0000
Ta1 Ta 0.0000 0.0000 0.5000
Ta2 Ta 0.2500 0.2500 0.2500
Ni1 Ni 0.2500 0.2500 0.7500


No. 11
# Dy4SnPS2, optimized geometry, DFT PBE-GGA
# - Calculated volume: 23.788 A^3/atom
# - Energy relative to the elements, uncorrected: -1.54 eV per atom
# - Total energy: -6.05 eV/atom
data_Dy4SnPS2
_chemical_formula_sum 'Dy4 Sn1 P1 S2'
_symmetry_space_group_name_H-M 'P 1 2/m 1'
_symmetry_Int_Tables_number 10
_cell_length_a 7.0381
_cell_length_b 4.0312
_cell_length_c 7.1106
_cell_angle_alpha 90.00
_cell_angle_beta 109.39
_cell_angle_gamma 90.00
loop_
_symmetry_equiv_pos_as_xyz
'x,y,z'
'-x,-y,-z'
'-x,y,-z'
'x,-y,z'
loop_
_atom_site_label
_atom_site_type_symbol
_atom_site_fract_x
_atom_site_fract_y
_atom_site_fract_z
Dy1 Dy 0.2391 0.0000 0.2326
Dy2 Dy 0.2508 0.5000 0.7613
Sn1 Sn 0.5000 0.5000 0.5000
P1 P 0.5000 0.0000 0.0000
S1 S 0.0000 0.0000 0.5000
S2 S 0.0000 0.5000 0.0000


No. 12
# Eu2TaAlO6, optimized geometry, DFT PBE-GGA
# - Calculated volume: 12.050 A^3/atom
# - Energy relative to the elements, uncorrected: -3.03 eV per atom
# - Total energy: -9.62 eV/atom
data_Eu2TaAlO6
_chemical_formula_sum 'Eu8 Ta4 Al4 O24'
_symmetry_space_group_name_H-M 'F m -3 m'
_symmetry_Int_Tables_number 225
_symmetry_space_group_name_Hall '-F 4 2 3'
_cell_length_a 7.8407
_cell_length_b 7.8407
_cell_length_c 7.8407
_cell_angle_alpha 90.00
_cell_angle_beta 90.00
_cell_angle_gamma 90.00
loop_
_atom_site_label
_atom_site_type_symbol
_atom_site_fract_x
_atom_site_fract_y
_atom_site_fract_z
Eu1 Eu 0.2500 0.2500 0.2500
Ta1 Ta 0.0000 0.0000 0.0000
Al1 Al 0.0000 0.0000 0.5000
O1 O 0.0000 0.0000 0.2554